(1)
A PBEsol-optimized structure of Cd2InPt. Source: the Alexandria database, functional SCAN.

Calculated values
Space-group type: No. 71
D(E_F) in states/eV per cell: 1.52
Uncorrected energy in eV/atom: -41.371
Formation energy from the elements in eV/atom: -0.269

Geometry as POSCAR:
```
Cd2InPt
1.0
-1.469 2.287 6.121
1.469 -2.287 6.121
1.469 2.287 -6.121
Cd In Pt
2 1 1
Cartesian
0.000 0.000 2.451
0.000 0.000 9.792
0.000 2.287 0.000
1.469 0.000 0.000
```

---

(2)
A PBEsol-optimized structure of CdInPt2. Source: the Alexandria database, functional SCAN.

Calculated values
Space-group type: No. 47
D(E_F) in states/eV per cell: 0.98
Uncorrected energy in eV/atom: -51.456
Formation energy from the elements in eV/atom: -0.409

Geometry as POSCAR:
```
CdInPt2
1.0
2.959 0.000 0.000
0.000 3.863 0.000
0.000 0.000 5.912
Cd In Pt
1 1 2
Cartesian
0.000 0.000 0.000
0.000 0.000 2.956
1.480 1.932 1.496
1.480 1.932 4.416
```

---

(3)
A PBEsol-optimized structure of Cd2InPt. Source: the Alexandria database, functional SCAN.

Calculated values
Space-group type: No. 166
D(E_F) in states/eV per cell: 1.65
Uncorrected energy in eV/atom: -41.122
Formation energy from the elements in eV/atom: -0.020

Geometry as POSCAR:
```
Cd2InPt
1.0
1.548 0.894 9.467
-1.548 0.894 9.467
0.000 -1.787 9.467
Cd In Pt
2 1 1
Cartesian
0.000 0.000 6.864
0.000 0.000 21.536
0.000 0.000 0.000
0.000 0.000 14.200
```

---

(4)
A PBEsol-optimized structure of CdInPt2. Source: the Alexandria database, functional SCAN.

Calculated values
Space-group type: No. 123
D(E_F) in states/eV per cell: 0.91
Uncorrected energy in eV/atom: -51.455
Formation energy from the elements in eV/atom: -0.408

Geometry as POSCAR:
```
CdInPt2
1.0
2.970 0.000 0.000
0.000 2.970 0.000
0.000 0.000 7.680
Cd In Pt
1 1 2
Cartesian
0.000 0.000 0.000
0.000 0.000 3.840
1.485 1.485 1.971
1.485 1.485 5.708
```

---

(5)
A PBEsol-optimized structure of CdIn2Pt. Source: the Alexandria database, functional SCAN.

Calculated values
Space-group type: No. 65
D(E_F) in states/eV per cell: 1.13
Uncorrected energy in eV/atom: -41.951
Formation energy from the elements in eV/atom: -0.105

Geometry as POSCAR:
```
CdIn2Pt
1.0
2.888 -3.473 0.000
2.888 3.473 0.000
0.000 0.000 3.913
Cd In Pt
1 2 1
Cartesian
0.000 0.000 0.000
1.444 1.736 1.957
1.444 -1.736 1.957
2.888 0.000 0.000
```

---

(6)
A PBEsol-optimized structure of CdIn2Pt. Source: the Alexandria database, functional SCAN.

Calculated values
Space-group type: No. 10
D(E_F) in states/eV per cell: 1.02
Uncorrected energy in eV/atom: -41.976
Formation energy from the elements in eV/atom: -0.131

Geometry as POSCAR:
```
CdIn2Pt
1.0
3.665 0.000 0.000
0.000 3.673 0.000
-0.016 0.000 5.859
Cd In Pt
1 2 1
Cartesian
0.000 0.000 0.000
1.817 1.837 4.314
1.833 1.837 1.545
-0.008 0.000 2.930
```

---

(7)
A PBEsol-optimized structure of CdInPt2. Source: the Alexandria database, functional SCAN.

Calculated values
Space-group type: No. 65
D(E_F) in states/eV per cell: 0.95
Uncorrected energy in eV/atom: -51.457
Formation energy from the elements in eV/atom: -0.410

Geometry as POSCAR:
```
CdInPt2
1.0
2.957 -3.868 0.000
2.957 3.868 0.000
0.000 0.000 2.954
Cd In Pt
1 1 2
Cartesian
0.000 0.000 0.000
2.957 0.000 0.000
1.479 1.934 1.477
1.479 -1.934 1.477
```

---

(8)
A PBEsol-optimized structure of RbCd2In2. Source: the Alexandria database, functional SCAN.

Calculated values
Space-group type: No. 127
D(E_F) in states/eV per cell: 4.21
Energy relative to the lowest polymorph listed for this composition in meV per atom: 93
Uncorrected energy in eV/atom: -29.720
Formation energy from the elements in eV/atom: -0.052

Geometry as POSCAR:
```
RbCd2In2
1.0
9.231 0.000 0.000
0.000 9.231 0.000
0.000 0.000 3.174
Rb Cd In
2 4 4
Cartesian
0.000 0.000 0.000
4.616 4.616 0.000
1.420 3.196 1.587
3.196 7.812 1.587
6.035 1.420 1.587
7.812 6.035 1.587
1.263 5.879 0.000
3.352 1.263 0.000
5.879 7.968 0.000
7.968 3.352 0.000
```

---

(9)
A PBEsol-optimized structure of RbCd2In2. Source: the Alexandria database, functional SCAN.

Calculated values
Space-group type: No. 139
D(E_F) in states/eV per cell: 2.61
Energy relative to the lowest polymorph listed for this composition in meV per atom: 0
Uncorrected energy in eV/atom: -29.812
Formation energy from the elements in eV/atom: -0.144

Geometry as POSCAR:
```
RbCd2In2
1.0
-2.460 2.460 6.001
2.460 -2.460 6.001
2.460 2.460 -6.001
Rb Cd In
1 2 2
Cartesian
0.000 0.000 0.000
2.460 0.000 3.001
0.000 2.460 3.001
0.000 0.000 4.549
0.000 0.000 7.453
```

---

(10)
A PBEsol-optimized structure of CdInRe3. Source: the Alexandria database, functional SCAN.

Calculated values
Space-group type: No. 221
D(E_F) in states/eV per cell: 4.61
Uncorrected energy in eV/atom: -52.314
Formation energy from the elements in eV/atom: 3.105

Geometry as POSCAR:
```
CdInRe3
1.0
4.775 0.000 0.000
0.000 4.775 0.000
0.000 0.000 4.775
Cd In Re
1 1 3
Cartesian
0.000 0.000 0.000
2.387 2.387 2.387
0.000 0.000 2.387
0.000 2.387 0.000
2.387 0.000 0.000
```

---

(11)
A PBEsol-optimized structure of CdInRe2. Source: the Alexandria database, functional SCAN.

Calculated values
Space-group type: No. 166
D(E_F) in states/eV per cell: 2.67
Energy relative to the lowest polymorph listed for this composition in meV per atom: 0
Uncorrected energy in eV/atom: -50.786
Formation energy from the elements in eV/atom: 0.713

Geometry as POSCAR:
```
CdInRe2
1.0
1.432 0.827 9.429
-1.432 0.827 9.429
0.000 -1.653 9.429
Cd In Re
1 1 2
Cartesian
0.000 0.000 0.000
0.000 0.000 14.143
0.000 0.000 7.047
0.000 0.000 21.239
```

---

(12)
A PBEsol-optimized structure of CdInRe2. Source: the Alexandria database, functional SCAN.

Calculated values
Space-group type: No. 47
D(E_F) in states/eV per cell: 2.27
Energy relative to the lowest polymorph listed for this composition in meV per atom: 31
Uncorrected energy in eV/atom: -50.754
Formation energy from the elements in eV/atom: 0.745

Geometry as POSCAR:
```
CdInRe2
1.0
3.114 0.000 0.000
0.000 4.586 0.000
0.000 0.000 4.701
Cd In Re
1 1 2
Cartesian
0.000 0.000 0.000
1.557 2.293 0.000
0.000 2.293 2.350
1.557 0.000 2.350
```

---

(13)
A PBEsol-optimized structure of Cd2InRe. Source: the Alexandria database, functional SCAN.

Calculated values
Space-group type: No. 35
D(E_F) in states/eV per cell: 1.57
Uncorrected energy in eV/atom: -40.847
Formation energy from the elements in eV/atom: 0.481

Geometry as POSCAR:
```
Cd2InRe
1.0
1.436 -2.463 0.000
1.436 2.463 0.000
0.000 0.000 11.213
Cd In Re
2 1 1
Cartesian
0.000 0.000 0.000
1.436 0.000 2.925
1.436 0.000 7.913
0.000 0.000 5.417
```

---

(14)
A PBEsol-optimized structure of Cd2InRe. Source: the Alexandria database, functional SCAN.

Calculated values
Space-group type: No. 65
D(E_F) in states/eV per cell: 2.40
Uncorrected energy in eV/atom: -40.757
Formation energy from the elements in eV/atom: 0.571

Geometry as POSCAR:
```
Cd2InRe
1.0
2.862 -4.422 0.000
2.862 4.422 0.000
0.000 0.000 2.903
Cd In Re
2 1 1
Cartesian
1.431 2.211 0.000
1.431 -2.211 0.000
0.000 0.000 1.451
2.862 0.000 1.451
```

---

(15)
A PBEsol-optimized structure of CdInRh2. Source: the Alexandria database, functional SCAN.

Calculated values
Space-group type: No. 44
D(E_F) in states/eV per cell: 2.97
Energy relative to the lowest polymorph listed for this composition in meV per atom: 227
Uncorrected energy in eV/atom: -32.940
Formation energy from the elements in eV/atom: -0.104

Geometry as POSCAR:
```
CdInRh2
1.0
-1.509 2.268 4.782
1.509 -2.268 4.782
1.509 2.268 -4.782
Cd In Rh
1 1 2
Cartesian
0.000 0.000 0.000
0.000 2.268 2.178
1.509 0.000 2.410
0.000 0.000 4.660
```